[1]
# KSr2Hg, relaxed, DFT GGA-PBEsol
data_KSr2Hg
_symmetry_space_group_name_H-M 'P 4/m m m'
_symmetry_Int_Tables_number 123
_symmetry_space_group_name_Hall '-P 4 2'
_cell_length_a 5.743
_cell_length_b 5.743
_cell_length_c 4.780
_cell_angle_alpha 90.00
_cell_angle_beta 90.00
_cell_angle_gamma 90.00
loop_
_atom_site_label
_atom_site_type_symbol
_atom_site_fract_x
_atom_site_fract_y
_atom_site_fract_z
_atom_site_occupancy
K1 K 0.000 0.000 0.000 1
Sr1 Sr 0.000 0.500 0.500 1
Hg1 Hg 0.500 0.500 0.000 1
# **Calculated volume**: 158 Å³ per cell
# **Calculated formation energy**: -0.024 eV/atom
# **DOS at the Fermi energy**: 5.263 states/eV/f.u.

***

[2]
# KSr2TcHg, relaxed, DFT GGA-PBEsol
data_KSr2TcHg
_symmetry_space_group_name_H-M 'P 4/m m m'
_symmetry_Int_Tables_number 123
_symmetry_space_group_name_Hall '-P 4 2'
_cell_length_a 6.053
_cell_length_b 6.053
_cell_length_c 5.292
_cell_angle_alpha 90.00
_cell_angle_beta 90.00
_cell_angle_gamma 90.00
loop_
_atom_site_label
_atom_site_type_symbol
_atom_site_fract_x
_atom_site_fract_y
_atom_site_fract_z
_atom_site_occupancy
K1 K 0.000 0.000 0.000 1
Sr1 Sr 0.000 0.500 0.000 1
Tc1 Tc 0.500 0.500 0.500 1
Hg1 Hg 0.000 0.000 0.500 1
# **Calculated volume**: 194 Å³ per cell
# **Calculated formation energy**: 1.604 eV/atom
# **DOS at the Fermi energy**: 5.958 states/eV/f.u.

***

[3]
# K2TcHg, relaxed, DFT GGA-PBEsol
data_K2TcHg
_symmetry_space_group_name_H-M 'I m m 2'
_symmetry_Int_Tables_number 44
_cell_length_a 4.758
_cell_length_b 5.777
_cell_length_c 9.216
_cell_angle_alpha 90.00
_cell_angle_beta 90.00
_cell_angle_gamma 90.00
loop_
_symmetry_equiv_pos_as_xyz
'x,y,z'
'-x,-y,z'
'-x,y,z'
'x,-y,z'
'x+1/2,y+1/2,z+1/2'
'-x+1/2,-y+1/2,z+1/2'
'-x+1/2,y+1/2,z+1/2'
'x+1/2,-y+1/2,z+1/2'
loop_
_atom_site_label
_atom_site_type_symbol
_atom_site_fract_x
_atom_site_fract_y
_atom_site_fract_z
_atom_site_occupancy
K1 K 0.000 0.000 0.000 1
K2 K 0.000 0.500 0.199 1
Tc1 Tc 0.000 0.500 0.788 1
Hg1 Hg 0.000 0.000 0.415 1
# **Calculated volume**: 253 Å³ per cell
# **Calculated formation energy**: 0.971 eV/atom
# **DOS at the Fermi energy**: 3.158 states/eV/f.u.

***

[4]
# KHgTe2, relaxed, DFT GGA-PBEsol
data_KHgTe2
_symmetry_space_group_name_H-M 'I -4 m 2'
_symmetry_Int_Tables_number 119
_symmetry_space_group_name_Hall 'I -4 -2'
_cell_length_a 4.583
_cell_length_b 4.583
_cell_length_c 10.857
_cell_angle_alpha 90.00
_cell_angle_beta 90.00
_cell_angle_gamma 90.00
loop_
_atom_site_label
_atom_site_type_symbol
_atom_site_fract_x
_atom_site_fract_y
_atom_site_fract_z
_atom_site_occupancy
K1 K 0.000 0.000 0.000 1
Hg1 Hg 0.000 0.500 0.750 1
Te1 Te 0.000 0.000 0.500 1
Te2 Te 0.000 0.500 0.250 1
# **Calculated volume**: 228 Å³ per cell
# **DOS at the Fermi energy**: 4.047 states/eV/f.u.
# **ΔE_f (raw)**: -0.17 eV/atom

***

[5]
# KHgTe2, relaxed, DFT GGA-PBEsol
data_KHgTe2
_symmetry_space_group_name_H-M 'P m m m'
_symmetry_Int_Tables_number 47
_cell_length_a 3.204
_cell_length_b 5.808
_cell_length_c 6.413
_cell_angle_alpha 90.00
_cell_angle_beta 90.00
_cell_angle_gamma 90.00
loop_
_symmetry_equiv_pos_as_xyz
'x,y,z'
'-x,-y,-z'
'-x,-y,z'
'x,y,-z'
'x,-y,-z'
'-x,y,z'
'-x,y,-z'
'x,-y,z'
loop_
_atom_site_label
_atom_site_type_symbol
_atom_site_fract_x
_atom_site_fract_y
_atom_site_fract_z
_atom_site_occupancy
K1 K 0.000 0.000 0.000 1
Hg1 Hg 0.000 0.000 0.500 1
Te1 Te 0.500 0.500 0.248 1
# **Calculated volume**: 119 Å³ per cell
# **DOS at the Fermi energy**: 1.912 states/eV/f.u.
# **ΔE_f (raw)**: -0.29 eV/atom

***

[6]
# KHgTe2, relaxed, DFT GGA-PBEsol
data_KHgTe2
_symmetry_space_group_name_H-M 'C 1 m 1'
_symmetry_Int_Tables_number 8
_cell_length_a 12.376
_cell_length_b 3.856
_cell_length_c 5.379
_cell_angle_alpha 90.00
_cell_angle_beta 90.17
_cell_angle_gamma 90.00
loop_
_symmetry_equiv_pos_as_xyz
'x,y,z'
'x,-y,z'
'x+1/2,y+1/2,z'
'x+1/2,-y+1/2,z'
loop_
_atom_site_label
_atom_site_type_symbol
_atom_site_fract_x
_atom_site_fract_y
_atom_site_fract_z
_atom_site_occupancy
K1 K 0.000 0.000 0.000 1
Hg1 Hg 0.261 0.000 0.997 1
Te1 Te 0.138 0.500 0.500 1
Te2 Te 0.416 0.000 0.499 1
# **Calculated volume**: 257 Å³ per cell
# **DOS at the Fermi energy**: 1.416 states/eV/f.u.
# **ΔE_f (raw)**: -0.29 eV/atom

***

[7]
# KHg2Te, relaxed, DFT GGA-PBEsol
data_KHg2Te
_symmetry_space_group_name_H-M 'P 1 2/m 1'
_symmetry_Int_Tables_number 10
_cell_length_a 3.353
_cell_length_b 5.554
_cell_length_c 6.046
_cell_angle_alpha 90.00
_cell_angle_beta 91.10
_cell_angle_gamma 90.00
loop_
_symmetry_equiv_pos_as_xyz
'x,y,z'
'-x,-y,-z'
'-x,y,-z'
'x,-y,z'
loop_
_atom_site_label
_atom_site_type_symbol
_atom_site_fract_x
_atom_site_fract_y
_atom_site_fract_z
_atom_site_occupancy
K1 K 0.000 0.000 0.000 1
Hg1 Hg 0.459 0.500 0.753 1
Te1 Te 0.500 0.000 0.500 1
# **Calculated volume**: 113 Å³ per cell
# **DOS at the Fermi energy**: 1.107 states/eV/f.u.
# **ΔE_f (raw)**: -0.30 eV/atom

***

[8]
# KHg2Te, relaxed, DFT GGA-PBEsol
data_KHg2Te
_symmetry_space_group_name_H-M 'I m m 2'
_symmetry_Int_Tables_number 44
_cell_length_a 4.454
_cell_length_b 6.011
_cell_length_c 9.172
_cell_angle_alpha 90.00
_cell_angle_beta 90.00
_cell_angle_gamma 90.00
loop_
_symmetry_equiv_pos_as_xyz
'x,y,z'
'-x,-y,z'
'-x,y,z'
'x,-y,z'
'x+1/2,y+1/2,z+1/2'
'-x+1/2,-y+1/2,z+1/2'
'-x+1/2,y+1/2,z+1/2'
'x+1/2,-y+1/2,z+1/2'
loop_
_atom_site_label
_atom_site_type_symbol
_atom_site_fract_x
_atom_site_fract_y
_atom_site_fract_z
_atom_site_occupancy
K1 K 0.000 0.000 0.000 1
Hg1 Hg 0.000 0.000 0.501 1
Hg2 Hg 0.000 0.500 0.209 1
Te1 Te 0.000 0.500 0.796 1
# **Calculated volume**: 246 Å³ per cell
# **DOS at the Fermi energy**: 0.987 states/eV/f.u.
# **ΔE_f (raw)**: -0.29 eV/atom

***

[9]
# KHg2Te, relaxed, DFT GGA-PBEsol
data_KHg2Te
_symmetry_space_group_name_H-M 'P m m m'
_symmetry_Int_Tables_number 47
_cell_length_a 3.540
_cell_length_b 5.684
_cell_length_c 5.740
_cell_angle_alpha 90.00
_cell_angle_beta 90.00
_cell_angle_gamma 90.00
loop_
_symmetry_equiv_pos_as_xyz
'x,y,z'
'-x,-y,-z'
'-x,-y,z'
'x,y,-z'
'x,-y,-z'
'-x,y,z'
'-x,y,-z'
'x,-y,z'
loop_
_atom_site_label
_atom_site_type_symbol
_atom_site_fract_x
_atom_site_fract_y
_atom_site_fract_z
_atom_site_occupancy
K1 K 0.000 0.000 0.000 1
Hg1 Hg 0.000 0.500 0.500 1
Hg2 Hg 0.500 0.000 0.500 1
Te1 Te 0.500 0.500 0.000 1
# **Calculated volume**: 116 Å³ per cell
# **DOS at the Fermi energy**: 1.057 states/eV/f.u.
# **ΔE_f (raw)**: -0.24 eV/atom

***

[10]
# KTi3Hg, relaxed, DFT GGA-PBEsol
data_KTi3Hg
_symmetry_space_group_name_H-M 'P m -3 m'
_symmetry_Int_Tables_number 221
_symmetry_space_group_name_Hall '-P 4 2 3'
_cell_length_a 4.466
_cell_length_b 4.466
_cell_length_c 4.466
_cell_angle_alpha 90.00
_cell_angle_beta 90.00
_cell_angle_gamma 90.00
loop_
_atom_site_label
_atom_site_type_symbol
_atom_site_fract_x
_atom_site_fract_y
_atom_site_fract_z
_atom_site_occupancy
K1 K 0.000 0.000 0.000 1
Ti1 Ti 0.000 0.000 0.500 1
Hg1 Hg 0.500 0.500 0.500 1
# **Calculated volume**: 89 Å³ per cell
# **Calculated formation energy**: 1.731 eV/atom
# **DOS at the Fermi energy**: 6.604 states/eV/f.u.

***

[11]
# KTlHg2, relaxed, DFT GGA-PBEsol
data_KTlHg2
_symmetry_space_group_name_H-M 'C 1 2/m 1'
_symmetry_Int_Tables_number 12
_cell_length_a 10.019
_cell_length_b 3.350
_cell_length_c 6.946
_cell_angle_alpha 90.00
_cell_angle_beta 96.73
_cell_angle_gamma 90.00
loop_
_symmetry_equiv_pos_as_xyz
'x,y,z'
'-x,-y,-z'
'-x,y,-z'
'x,-y,z'
'x+1/2,y+1/2,z'
'-x+1/2,-y+1/2,-z'
'-x+1/2,y+1/2,-z'
'x+1/2,-y+1/2,z'
loop_
_atom_site_label
_atom_site_type_symbol
_atom_site_fract_x
_atom_site_fract_y
_atom_site_fract_z
_atom_site_occupancy
K1 K 0.000 0.000 0.000 1
Tl1 Tl 0.000 0.500 0.500 1
Hg1 Hg 0.248 0.000 0.716 1
# **Calculated volume**: 232 Å³ per cell
# **Calculated formation energy**: -0.109 eV/atom
# **DOS at the Fermi energy**: 1.875 states/eV/f.u.

***

[12]
# KTlHg, relaxed, DFT GGA-PBEsol
data_KTlHg
_symmetry_space_group_name_H-M 'P -6 m 2'
_symmetry_Int_Tables_number 187
_symmetry_space_group_name_Hall 'P -6 2'
_cell_length_a 5.3684
_cell_length_b 5.3684
_cell_length_c 3.4815
_cell_angle_alpha 90.00
_cell_angle_beta 90.00
_cell_angle_gamma 120.00
loop_
_atom_site_label
_atom_site_type_symbol
_atom_site_fract_x
_atom_site_fract_y
_atom_site_fract_z
_atom_site_occupancy
K1 K 0.0000 0.0000 0.0000 1
Tl1 Tl 0.3333 0.6667 0.5000 1
Hg1 Hg 0.6667 0.3333 0.5000 1
# **Calculated volume**: 87 Å³ per cell
# **Calculated formation energy**: -0.163 eV/atom
# **DOS at the Fermi energy**: 1.402 states/eV/f.u.

***

[13]
# KTl2Hg, relaxed, DFT GGA-PBEsol
data_KTl2Hg
_symmetry_space_group_name_H-M 'I 4/m m m'
_symmetry_Int_Tables_number 139
_symmetry_space_group_name_Hall '-I 4 2'
_cell_length_a 5.272
_cell_length_b 5.272
_cell_length_c 8.054
_cell_angle_alpha 90.00
_cell_angle_beta 90.00
_cell_angle_gamma 90.00
loop_
_atom_site_label
_atom_site_type_symbol
_atom_site_fract_x
_atom_site_fract_y
_atom_site_fract_z
_atom_site_occupancy
K1 K 0.000 0.000 0.000 1
Tl1 Tl 0.000 0.500 0.250 1
Hg1 Hg 0.000 0.000 0.500 1
# **Calculated volume**: 224 Å³ per cell
# **Calculated formation energy**: -0.056 eV/atom
# **DOS at the Fermi energy**: 2.075 states/eV/f.u.

***

[14]
# KTlHg, relaxed, DFT GGA-PBEsol
data_KTlHg
_symmetry_space_group_name_H-M 'I 4 m m'
_symmetry_Int_Tables_number 107
_symmetry_space_group_name_Hall 'I 4 -2'
_cell_length_a 3.976
_cell_length_b 3.976
_cell_length_c 11.898
_cell_angle_alpha 90.00
_cell_angle_beta 90.00
_cell_angle_gamma 90.00
loop_
_atom_site_label
_atom_site_type_symbol
_atom_site_fract_x
_atom_site_fract_y
_atom_site_fract_z
_atom_site_occupancy
K1 K 0.000 0.000 0.000 1
Tl1 Tl 0.000 0.000 0.703 1
Hg1 Hg 0.000 0.000 0.307 1
# **Calculated volume**: 188 Å³ per cell
# **Calculated formation energy**: -0.131 eV/atom
# **DOS at the Fermi energy**: 1.213 states/eV/f.u.

***

[15]
# KTl2Hg, relaxed, DFT GGA-PBEsol
data_KTl2Hg
_symmetry_space_group_name_H-M 'P 1 m 1'
_symmetry_Int_Tables_number 6
_cell_length_a 3.385
_cell_length_b 5.015
_cell_length_c 7.079
_cell_angle_alpha 90.00
_cell_angle_beta 103.46
_cell_angle_gamma 90.00
loop_
_symmetry_equiv_pos_as_xyz
'x,y,z'
'x,-y,z'
loop_
_atom_site_label
_atom_site_type_symbol
_atom_site_fract_x
_atom_site_fract_y
_atom_site_fract_z
_atom_site_occupancy
K1 K 0.000 0.000 0.000 1
Tl1 Tl 0.256 0.000 0.514 1
Tl2 Tl 0.649 0.500 0.300 1
Hg1 Hg 0.383 0.500 0.762 1
# **Calculated volume**: 117 Å³ per cell
# **Calculated formation energy**: -0.110 eV/atom
# **DOS at the Fermi energy**: 1.485 states/eV/f.u.